# GaCu2Pt | the Alexandria database | PBE | relaxed
# total magnetization = 0.00 μB/f.u.
# DFT total energy = -18.55 eV/f.u.
data_GaCu2Pt
_symmetry_space_group_name_H-M 'P 4/m m m'
_symmetry_Int_Tables_number 123
_symmetry_space_group_name_Hall '-P 4 2'
_cell_length_a 3.742
_cell_length_b 3.742
_cell_length_c 3.885
_cell_angle_alpha 90.00
_cell_angle_beta 90.00
_cell_angle_gamma 90.00
loop_
_atom_site_label
_atom_site_type_symbol
_atom_site_fract_x
_atom_site_fract_y
_atom_site_fract_z
Ga1 Ga 0.000 0.000 0.000
Cu1 Cu 0.000 0.500 0.500
Pt1 Pt 0.500 0.500 0.000

# InSeN2 | the Alexandria database | PBE | relaxed
# total magnetization = 0.00 μB/f.u.
# energy relative to the lowest polymorph listed for this composition = 1.782 eV per atom
data_InSeN2
_symmetry_space_group_name_H-M 'F m -3 m'
_symmetry_Int_Tables_number 225
_symmetry_space_group_name_Hall '-F 4 2 3'
_cell_length_a 5.880
_cell_length_b 5.880
_cell_length_c 5.880
_cell_angle_alpha 90.00
_cell_angle_beta 90.00
_cell_angle_gamma 90.00
loop_
_atom_site_label
_atom_site_type_symbol
_atom_site_fract_x
_atom_site_fract_y
_atom_site_fract_z
In1 In 0.000 0.000 0.000
Se1 Se 0.000 0.000 0.500
N1 N 0.250 0.250 0.250

# Ho3Ga3Ir2 | the Alexandria database | PBE | relaxed
# total magnetization = 0.00 μB/f.u.
# DFT total energy = -46.77 eV/f.u.
data_Ho3Ga3Ir2
_symmetry_space_group_name_H-M 'P n m a'
_symmetry_Int_Tables_number 62
_cell_length_a 7.819
_cell_length_b 15.175
_cell_length_c 5.562
_cell_angle_alpha 90.00
_cell_angle_beta 90.00
_cell_angle_gamma 90.00
loop_
_symmetry_equiv_pos_as_xyz
'x,y,z'
'-x,-y,-z'
'-x+1/2,-y,z+1/2'
'x+1/2,y,-z+1/2'
'x+1/2,-y+1/2,-z+1/2'
'-x+1/2,y+1/2,z+1/2'
'-x,y+1/2,-z'
'x,-y+1/2,z'
loop_
_atom_site_label
_atom_site_type_symbol
_atom_site_fract_x
_atom_site_fract_y
_atom_site_fract_z
Ho1 Ho 0.039 0.109 0.111
Ho2 Ho 0.176 0.250 0.633
Ga1 Ga 0.165 0.750 0.630
Ga2 Ga 0.178 0.036 0.603
Ir1 Ir 0.111 0.609 0.377

# Sc2Hg | the Alexandria database | PBE | relaxed
# total magnetization = 0.74 μB/f.u.
# DFT total energy = -13.01 eV/f.u.
data_Sc2Hg
_symmetry_space_group_name_H-M 'P -3 m 1'
_symmetry_Int_Tables_number 164
_symmetry_space_group_name_Hall '-P 3 2"'
_cell_length_a 4.9815
_cell_length_b 4.9815
_cell_length_c 3.0095
_cell_angle_alpha 90.00
_cell_angle_beta 90.00
_cell_angle_gamma 120.00
loop_
_atom_site_label
_atom_site_type_symbol
_atom_site_fract_x
_atom_site_fract_y
_atom_site_fract_z
Sc1 Sc 0.3333 0.6667 0.4761
Hg1 Hg 0.0000 0.0000 0.0000

# Zn2Ga2Pt | the Alexandria database | PBE | relaxed
# total magnetization = 0.00 μB/f.u.
# energy relative to the lowest polymorph listed for this composition = 0.000 eV per atom
data_Zn2Ga2Pt
_symmetry_space_group_name_H-M 'P 4/m b m'
_symmetry_Int_Tables_number 127
_symmetry_space_group_name_Hall '-P 4 2ab'
_cell_length_a 6.556
_cell_length_b 6.556
_cell_length_c 3.890
_cell_angle_alpha 90.00
_cell_angle_beta 90.00
_cell_angle_gamma 90.00
loop_
_atom_site_label
_atom_site_type_symbol
_atom_site_fract_x
_atom_site_fract_y
_atom_site_fract_z
Zn1 Zn 0.163 0.337 0.000
Ga1 Ga 0.140 0.640 0.500
Pt1 Pt 0.000 0.000 0.500

# Ga3PC | the Alexandria database | PBE | relaxed
# total magnetization = 0.64 μB/f.u.
# energy relative to the lowest polymorph listed for this composition = 0.898 eV per atom
data_Ga3PC
_symmetry_space_group_name_H-M 'P m -3 m'
_symmetry_Int_Tables_number 221
_symmetry_space_group_name_Hall '-P 4 2 3'
_cell_length_a 4.723
_cell_length_b 4.723
_cell_length_c 4.723
_cell_angle_alpha 90.00
_cell_angle_beta 90.00
_cell_angle_gamma 90.00
loop_
_atom_site_label
_atom_site_type_symbol
_atom_site_fract_x
_atom_site_fract_y
_atom_site_fract_z
Ga1 Ga 0.000 0.000 0.500
P1 P 0.000 0.000 0.000
C1 C 0.500 0.500 0.500